First-principles (PBE) data for a relaxed NaIrN2F crystal, as listed in the Alexandria database.

* E_form (uncorrected): 2.125 eV/atom
* total magnetic moment: 1.2 μB/f.u.

Cell lengths 4.0917, 4.0917, 3.6983 Å; angles 90.00, 90.00, 90.00 degrees
Closest atoms and distances in Å follow each position.
Space group P4/mmm (No. 123)
Asymmetric unit:
Na (0.0000, 0.0000, 0.0000) x1  2 F 1.85, 4 N 2.05
Ir (0.5000, 0.5000, 0.5000) x1  8 N 2.76, 4 F 2.89
N (0.0000, 0.5000, 0.0000) x2  2 Na 2.05
F (0.0000, 0.0000, 0.5000) x1  2 Na 1.85

---

First-principles (PBE) data for a relaxed RbCl crystal, as listed in the Alexandria database.

* E_form (uncorrected): -1.902 eV/atom
* total magnetic moment: 0.1 μB/f.u.

Cell lengths 5.6621, 5.6621, 6.6212 Å; angles 90.00, 90.00, 120.00 degrees
Closest atoms and distances in Å follow each position.
Space group P6_3/mmc (No. 194)
Asymmetric unit:
Rb (0.3333, 0.6667, 0.2500) x2  5 Cl 3.27-3.31
Cl (0.3333, 0.6667, 0.7500) x2  5 Rb 3.27-3.31

---

First-principles (PBE) data for a relaxed CrNiAs crystal, as listed in the Alexandria database.

* E_form: -227 meV per atom
* total magnetic moment: 3.0 μB/f.u.

Cell lengths 6.2150, 6.2150, 3.6222 Å; angles 90.00, 90.00, 120.00 degrees
Closest atoms and distances in Å follow each position.
Space group P-62m (No. 189)
Asymmetric unit:
Cr (0.0000, 0.5951, 0.0000) x3  5 As 2.52-2.62, 2 Ni 2.78
Ni (0.0000, 0.2551, 0.5000) x3  4 As 2.35-2.41
As (0.0000, 0.0000, 0.0000) x1  6 Ni 2.41, 3 Cr 2.52
As (0.3333, 0.6667, 0.5000) x2  3 Ni 2.35, 6 Cr 2.62

---

First-principles (PBE) data for a relaxed TaCo6Ni crystal, as listed in the Alexandria database.

* E_form: -55 meV per atom
* total magnetic moment: 7.9 μB/f.u.

Cell lengths 7.1605, 10.1961, 10.1925 Å; angles 90.00, 90.00, 90.00 degrees
Closest atoms and distances in Å follow each position.
Space group Cmmm (No. 65)
Asymmetric unit:
Ta (0.0000, 0.0000, 0.2476) x4  12 Co 2.52-2.63
Ta (0.0000, 0.2430, 0.0000) x4  12 Co 2.48-2.64
Co (0.0000, 0.0000, 0.0000) x2  4 Ta 2.48-2.52, 8 Co 2.60
Co (0.0000, 0.0000, 0.5000) x2  2 Ni 2.48, 2 Ta 2.57, 8 Co 2.58
Co (0.0000, 0.2546, 0.2591) x8  8 Co 2.44-2.65, 2 Ni 2.46-2.50, 2 Ta 2.60-2.64
Co (0.0000, 0.5000, 0.0000) x2  8 Co 2.50, 2 Ni 2.60, 2 Ta 2.62
Co (0.0000, 0.5000, 0.5000) x2  4 Ni 2.50-2.62, 8 Co 2.50
Co (0.2403, 0.3776, 0.1295) x16  1 Ni 2.48, 8 Co 2.50-2.65, 3 Ta 2.54-2.59
Co (0.2425, 0.3713, 0.3794) x16  8 Co 2.44-2.62, 3 Ni 2.50-2.52, 1 Ta 2.63
Ni (0.0000, 0.2432, 0.5000) x4  12 Co 2.46-2.62
Ni (0.0000, 0.5000, 0.2549) x4  12 Co 2.48-2.60